The following is a DFT calculation (GGA-PBE) of Ba2AgWS6 after structural relaxation.

Values from the calculation:
The value obtained for the energy above the most stable polymorph in this dataset is 14 meV per atom. For the volume, the calculation gives 24.2 Å³ per atom.

Geometry as CIF:
```
data_Ba2AgWS6
_symmetry_space_group_name_H-M 'F m -3 m'
_symmetry_Int_Tables_number 225
_symmetry_space_group_name_Hall '-F 4 2 3'
_cell_length_a 9.898
_cell_length_b 9.898
_cell_length_c 9.898
_cell_angle_alpha 90.00
_cell_angle_beta 90.00
_cell_angle_gamma 90.00
loop_
_atom_site_label
_atom_site_type_symbol
_atom_site_fract_x
_atom_site_fract_y
_atom_site_fract_z
Ba1 Ba 0.250 0.250 0.250
Ag1 Ag 0.000 0.000 0.000
W1 W 0.000 0.000 0.500
S1 S 0.000 0.000 0.259
```